# 1
SbWAu2: single point on PBEsol structure, SCAN.

Cell and atoms, written as extended XYZ:
```
12
Lattice="3.0182 0.0000 0.0000 -1.5091 2.6138 0.0000 0.0000 0.0000 27.8102" Properties=species:S:1:pos:R:3 pbc="T T T"
Sb 0.0000 0.0000 0.0000
Sb 0.0000 1.7425 18.5401
Sb 1.5091 0.8713 9.2700
W 0.0000 0.0000 20.8280
W 0.0000 1.7425 11.5580
W 1.5091 0.8713 2.2879
Au 0.0000 0.0000 6.6655
Au 0.0000 0.0000 13.6842
Au 0.0000 1.7425 4.4141
Au 0.0000 1.7425 25.2056
Au 1.5091 0.8713 15.9355
Au 1.5091 0.8713 22.9542
```

The value obtained for the density of states at the Fermi level is 0.477 states/eV/atom. The value obtained for the formation energy without anion corrections is 0.45 eV/atom.

# 2
CaLa2Rh: single point on PBEsol structure, SCAN.

Cell and atoms, written as extended XYZ:
```
8
Lattice="3.7990 0.0000 0.0000 0.0000 5.7123 0.0000 0.0000 0.0000 10.5697" Properties=species:S:1:pos:R:3 pbc="T T T"
Ca 0.0000 0.0000 0.0000
Ca 1.8995 2.8562 5.2848
La 0.0000 2.8562 2.0108
La 0.0000 2.8562 8.5588
La 1.8995 0.0000 3.2740
La 1.8995 0.0000 7.2957
Rh 0.0000 0.0000 5.2848
Rh 1.8995 2.8562 0.0000
```

The value obtained for the density of states at the Fermi level is 0.829 states/eV/atom. Its calculated formation energy is -0.4100 eV per atom.

# 3
La2NiAu: single point on PBEsol structure, SCAN.

Cell and atoms, written as extended XYZ:
```
8
Lattice="4.5291 0.0000 0.0000 0.0000 3.9530 0.0000 0.0000 0.0000 10.9013" Properties=species:S:1:pos:R:3 pbc="T T T"
La 0.0000 0.0000 0.0000
La 0.0000 1.9765 5.4506
La 2.2646 0.0000 3.0060
La 2.2646 1.9765 8.4566
Ni 2.2646 0.0000 6.0574
Ni 2.2646 1.9765 0.6067
Au 0.0000 0.0000 7.7801
Au 0.0000 1.9765 2.3295
```

The value obtained for the density of states at the Fermi level is 0.867 states/eV/atom. Its calculated formation energy is -0.6482 eV per atom.

# 4
Ta2H2Au: single point on PBEsol structure, SCAN.

Cell and atoms, written as extended XYZ:
```
10
Lattice="3.5578 0.0000 0.0000 0.0000 3.5578 0.0000 0.0000 0.0000 8.9576" Properties=species:S:1:pos:R:3 pbc="T T T"
Ta 0.0000 0.0000 1.4534
Ta 0.0000 0.0000 7.5042
Ta 1.7789 1.7789 3.0254
Ta 1.7789 1.7789 5.9322
H 0.0000 1.7789 2.2394
H 0.0000 1.7789 6.7182
H 1.7789 0.0000 2.2394
H 1.7789 0.0000 6.7182
Au 0.0000 0.0000 4.4788
Au 1.7789 1.7789 0.0000
```

The value obtained for the density of states at the Fermi level is 0.634 states/eV/atom. As for the energy: -419.46 eV for the cell shown.